[1]
VASP calculation (GGA-PBE) on a geometry-optimized K3Ac3GaS8 structure.

Computed properties:
* DFT total energy: -73.35 eV per cell

a = 8.555 Å, b = 8.560 Å, c = 8.993 Å
α = 118.45°, β = 90.00°, γ = 119.98°
Positions (direct):
K (0.000, 0.000, 0.000)
K (0.000, 0.500, 0.000)
K (0.500, 0.500, 0.000)
Ac (0.500, 0.000, 0.500)
Ac (0.500, 0.500, 0.500)
Ac (0.000, 0.500, 0.500)
Ga (0.000, 0.000, 0.500)
S (0.261, 0.522, 0.283)
S (0.739, 0.478, 0.717)
S (0.792, 0.584, 0.309)
S (0.208, 0.416, 0.691)
S (0.791, 0.017, 0.308)
S (0.209, 0.983, 0.692)
S (0.227, 0.017, 0.308)
S (0.773, 0.983, 0.692)



[2]
VASP calculation (GGA-PBE) on a geometry-optimized K2AcGaSe4 structure.

Computed properties:
* DFT total energy: -65.22 eV per cell

a = 8.861 Å, b = 8.861 Å, c = 9.232 Å
α = 120.22°, β = 120.22°, γ = 91.40°
Positions (direct):
K (0.500, 0.000, 0.000)
K (0.500, 0.000, 0.500)
K (0.000, 0.000, 0.500)
K (0.500, 0.500, 0.000)
Ac (0.000, 0.500, 0.000)
Ac (0.000, 0.500, 0.500)
Ga (0.500, 0.500, 0.500)
Ga (0.000, 0.000, 0.000)
Se (0.226, 0.747, 0.981)
Se (0.753, 0.274, 0.519)
Se (0.247, 0.726, 0.481)
Se (0.774, 0.253, 0.019)
Se (0.801, 0.797, 0.993)
Se (0.703, 0.699, 0.507)
Se (0.297, 0.301, 0.493)
Se (0.199, 0.203, 0.007)



[3]
VASP calculation (GGA-PBE) on a geometry-optimized KAcGaSn structure.

Computed properties:
* DFT total energy: -13.06 eV per cell

a = 5.707 Å, b = 5.707 Å, c = 5.707 Å
α = 60.00°, β = 60.00°, γ = 60.00°
Positions (direct):
K (0.750, 0.750, 0.750)
Ac (0.250, 0.250, 0.250)
Sn (0.000, 0.000, 0.000)
Ga (0.500, 0.500, 0.500)



[4]
VASP calculation (GGA-PBE) on a geometry-optimized KAcGaTe3 structure.

Computed properties:
* DFT total energy: -47.55 eV per cell

a = 5.046 Å, b = 9.648 Å, c = 10.490 Å
α = 102.62°, β = 90.00°, γ = 90.00°
Positions (direct):
K (0.250, 0.194, 0.230)
K (0.750, 0.806, 0.770)
Ac (0.250, 0.671, 0.147)
Ac (0.750, 0.329, 0.853)
Ga (0.250, 0.104, 0.587)
Ga (0.750, 0.896, 0.413)
Te (0.750, 0.905, 0.150)
Te (0.250, 0.095, 0.850)
Te (0.250, 0.806, 0.478)
Te (0.750, 0.194, 0.522)
Te (0.750, 0.449, 0.172)
Te (0.250, 0.551, 0.828)



[5]
VASP calculation (GGA-PBE) on a geometry-optimized Ac4LaGa5 structure.

Computed properties:
* DFT total energy: -41.10 eV per cell

a = 3.890 Å, b = 3.890 Å, c = 19.550 Å
α = 90.00°, β = 90.00°, γ = 90.00°
Positions (direct):
Ac (0.000, 0.000, 0.195)
Ac (0.000, 0.000, 0.398)
Ac (0.000, 0.000, 0.602)
Ac (0.000, 0.000, 0.805)
La (0.000, 0.000, 0.000)
Ga (0.500, 0.500, 0.091)
Ga (0.500, 0.500, 0.296)
Ga (0.500, 0.500, 0.500)
Ga (0.500, 0.500, 0.704)
Ga (0.500, 0.500, 0.909)



[6]
VASP calculation (GGA-PBE) on a geometry-optimized Ac2LaGa3 structure.

Computed properties:
* DFT total energy: -25.10 eV per cell

a = 3.873 Å, b = 3.873 Å, c = 11.627 Å
α = 90.00°, β = 90.00°, γ = 90.00°
Positions (direct):
Ac (0.500, 0.500, 0.830)
Ac (0.500, 0.500, 0.170)
La (0.500, 0.500, 0.500)
Ga (0.000, 0.000, 0.000)
Ga (0.000, 0.000, 0.655)
Ga (0.000, 0.000, 0.345)



[7]
VASP calculation (GGA-PBE) on a geometry-optimized Ac2LaGa structure.

Computed properties:
* DFT total energy: -15.26 eV per cell
* distance to the lowest polymorph of the same formula: 423 meV per atom

a = 3.847 Å, b = 3.847 Å, c = 12.832 Å
α = 81.38°, β = 81.38°, γ = 60.00°
Positions (direct):
Ac (0.085, 0.085, 0.744)
Ac (0.915, 0.915, 0.256)
Ga (0.000, 0.000, 0.000)
La (0.500, 0.500, 0.500)



[8]
VASP calculation (GGA-PBE) on a geometry-optimized AcLa2Ga structure.

Computed properties:
* DFT total energy: -17.12 eV per cell
* distance to the lowest polymorph of the same formula: 227 meV per atom

a = 5.692 Å, b = 5.692 Å, c = 5.692 Å
α = 60.00°, β = 60.00°, γ = 60.00°
Positions (direct):
Ac (0.000, 0.000, 0.000)
Ga (0.500, 0.500, 0.500)
La (0.250, 0.250, 0.250)
La (0.750, 0.750, 0.750)



[9]
VASP calculation (GGA-PBE) on a geometry-optimized AcLa5Ga6 structure.

Computed properties:
* DFT total energy: -53.42 eV per cell

a = 5.381 Å, b = 7.568 Å, c = 9.320 Å
α = 113.96°, β = 106.86°, γ = 90.00°
Positions (direct):
Ac (0.000, 0.000, 0.000)
Ga (0.169, 0.425, 0.338)
Ga (0.169, 0.913, 0.338)
Ga (0.500, 0.262, 0.000)
Ga (0.500, 0.738, 0.000)
Ga (0.831, 0.087, 0.662)
Ga (0.831, 0.575, 0.662)
La (0.336, 0.837, 0.673)
La (0.670, 0.670, 0.339)
La (0.000, 0.500, 0.000)
La (0.330, 0.330, 0.661)
La (0.664, 0.163, 0.327)



[10]
VASP calculation (GGA-PBE) on a geometry-optimized AcLa5Ga3 structure.

Computed properties:
* DFT total energy: -82.06 eV per cell

a = 7.123 Å, b = 9.371 Å, c = 9.370 Å
α = 120.00°, β = 90.00°, γ = 90.00°
Positions (direct):
Ac (0.000, 0.000, 0.000)
Ac (0.500, 0.000, 0.000)
La (0.000, 0.667, 0.333)
La (0.500, 0.333, 0.667)
La (0.000, 0.333, 0.667)
La (0.500, 0.667, 0.333)
La (0.750, 0.659, 0.659)
La (0.750, 0.000, 0.341)
La (0.750, 0.341, 0.000)
La (0.250, 0.341, 0.341)
La (0.250, 0.000, 0.659)
La (0.250, 0.659, 0.000)
Ga (0.750, 0.330, 0.330)
Ga (0.750, 0.000, 0.670)
Ga (0.750, 0.670, 0.000)
Ga (0.250, 0.670, 0.670)
Ga (0.250, 0.000, 0.330)
Ga (0.250, 0.330, 0.000)



[11]
VASP calculation (GGA-PBE) on a geometry-optimized Ac5La2Ga4 structure.

Computed properties:
* DFT total energy: -43.22 eV per cell

a = 5.068 Å, b = 11.954 Å, c = 9.667 Å
α = 128.19°, β = 105.20°, γ = 90.00°
Positions (direct):
Ac (0.144, 0.474, 0.287)
Ac (0.856, 0.526, 0.713)
Ac (0.144, 0.814, 0.287)
Ac (0.500, 0.000, 0.000)
Ac (0.856, 0.186, 0.713)
La (0.199, 0.199, 0.397)
La (0.801, 0.801, 0.603)
Ga (0.588, 0.588, 0.175)
Ga (0.000, 0.134, 0.000)
Ga (0.412, 0.412, 0.825)
Ga (0.000, 0.866, 0.000)



[12]
VASP calculation (GGA-PBE) on a geometry-optimized Ac3La4Ga4 structure.

Computed properties:
* DFT total energy: -48.03 eV per cell

a = 4.967 Å, b = 8.413 Å, c = 9.792 Å
α = 115.44°, β = 104.69°, γ = 90.00°
Positions (direct):
Ac (0.113, 0.113, 0.226)
Ac (0.887, 0.887, 0.774)
Ac (0.000, 0.500, 0.000)
La (0.333, 0.140, 0.666)
La (0.667, 0.474, 0.334)
La (0.667, 0.860, 0.334)
La (0.333, 0.526, 0.666)
Ga (0.224, 0.724, 0.448)
Ga (0.776, 0.276, 0.552)
Ga (0.500, 0.837, 0.000)
Ga (0.500, 0.163, 0.000)